# 1
Compound: Sb4TeMo
Source: the Alexandria database
Functional: GGA-PBE
Structure: relaxed

CIF file:
```
data_Sb4TeMo
_symmetry_space_group_name_H-M 'P 1'
_symmetry_Int_Tables_number 1
_symmetry_space_group_name_Hall 'P 1'
_cell_length_a 6.199
_cell_length_b 6.199
_cell_length_c 6.199
_cell_angle_alpha 60.00
_cell_angle_beta 60.00
_cell_angle_gamma 60.00
loop_
_atom_site_label
_atom_site_type_symbol
_atom_site_fract_x
_atom_site_fract_y
_atom_site_fract_z
Sb1 Sb 0.125 0.125 0.125
Sb2 Sb 0.125 0.125 0.625
Sb3 Sb 0.125 0.625 0.125
Sb4 Sb 0.625 0.125 0.125
Te1 Te 0.750 0.750 0.750
Mo1 Mo 0.500 0.500 0.500
```

Summary:
**Formation energy from raw total energies**: 5.2 eV/f.u.
**DFT total energy**: -4.210 eV/atom

***

# 2
Compound: SrCrH3
Source: the Alexandria database
Functional: GGA-PBE
Structure: relaxed

CIF file:
```
data_SrCrH3
_symmetry_space_group_name_H-M 'P 1'
_symmetry_Int_Tables_number 1
_symmetry_space_group_name_Hall 'P 1'
_cell_length_a 4.467
_cell_length_b 4.467
_cell_length_c 4.467
_cell_angle_alpha 90.00
_cell_angle_beta 90.00
_cell_angle_gamma 90.00
loop_
_atom_site_label
_atom_site_type_symbol
_atom_site_fract_x
_atom_site_fract_y
_atom_site_fract_z
Sr1 Sr 0.000 0.000 0.000
Cr1 Cr 0.500 0.500 0.500
H1 H 0.000 0.000 0.500
H2 H 0.000 0.500 0.000
H3 H 0.500 0.000 0.000
```

Summary:
**Excess energy over the best structure of this formula in the dataset**: 0.7731 eV per atom
**DFT total energy**: -3.690 eV/atom

***

# 3
Compound: CrCoCl4
Source: the Alexandria database
Functional: GGA-PBE
Structure: relaxed

CIF file:
```
data_CrCoCl4
_symmetry_space_group_name_H-M 'P 1'
_symmetry_Int_Tables_number 1
_symmetry_space_group_name_Hall 'P 1'
_cell_length_a 5.825
_cell_length_b 5.825
_cell_length_c 5.825
_cell_angle_alpha 60.00
_cell_angle_beta 60.00
_cell_angle_gamma 60.00
loop_
_atom_site_label
_atom_site_type_symbol
_atom_site_fract_x
_atom_site_fract_y
_atom_site_fract_z
Cr1 Cr 0.000 0.000 0.000
Co1 Co 0.750 0.750 0.750
Cl1 Cl 0.375 0.375 0.375
Cl2 Cl 0.375 0.375 0.874
Cl3 Cl 0.375 0.874 0.375
Cl4 Cl 0.874 0.375 0.375
```

Summary:
**Formation energy from raw total energies**: 6.1 eV/f.u.
**DFT total energy**: -2.996 eV/atom

***

# 4
Compound: ScFeNi3
Source: the Alexandria database
Functional: GGA-PBE
Structure: relaxed

CIF file:
```
data_ScFeNi3
_symmetry_space_group_name_H-M 'P 1'
_symmetry_Int_Tables_number 1
_symmetry_space_group_name_Hall 'P 1'
_cell_length_a 5.886
_cell_length_b 5.886
_cell_length_c 5.886
_cell_angle_alpha 131.66
_cell_angle_beta 111.52
_cell_angle_gamma 88.20
loop_
_atom_site_label
_atom_site_type_symbol
_atom_site_fract_x
_atom_site_fract_y
_atom_site_fract_z
Sc1 Sc 0.256 0.006 0.250
Sc2 Sc 0.744 0.994 0.750
Fe1 Fe 0.000 0.500 0.500
Fe2 Fe 0.500 0.500 0.000
Ni1 Ni 0.187 0.000 0.687
Ni2 Ni 0.187 0.500 0.187
Ni3 Ni 0.442 0.692 0.750
Ni4 Ni 0.558 0.308 0.250
Ni5 Ni 0.813 0.000 0.313
Ni6 Ni 0.813 0.500 0.813
```

Summary:
**Calculated formation energy**: -0.152 eV per atom
**Excess energy over the best structure of this formula in the dataset**: 0.0000 eV per atom
**DFT total energy**: -6.580 eV/atom

***

# 5
Compound: AgAsBr2Cl
Source: the Alexandria database
Functional: GGA-PBE
Structure: relaxed

CIF file:
```
data_AgAsBr2Cl
_symmetry_space_group_name_H-M 'P 1'
_symmetry_Int_Tables_number 1
_symmetry_space_group_name_Hall 'P 1'
_cell_length_a 6.246
_cell_length_b 6.246
_cell_length_c 4.514
_cell_angle_alpha 90.00
_cell_angle_beta 90.00
_cell_angle_gamma 90.00
loop_
_atom_site_label
_atom_site_type_symbol
_atom_site_fract_x
_atom_site_fract_y
_atom_site_fract_z
Ag1 Ag 0.000 0.000 0.000
As1 As 0.500 0.500 0.000
Br1 Br 0.000 0.500 0.500
Br2 Br 0.500 0.000 0.500
Cl1 Cl 0.500 0.500 0.500
```

Summary:
**Formation energy from raw total energies**: 3.3 eV/f.u.
**Excess energy over the best structure of this formula in the dataset**: 0.2219 eV per atom
**DFT total energy**: -1.872 eV/atom

***

# 6
Compound: Si2AgAu2
Source: the Alexandria database
Functional: GGA-PBE
Structure: relaxed

CIF file:
```
data_Si2AgAu2
_symmetry_space_group_name_H-M 'P 1'
_symmetry_Int_Tables_number 1
_symmetry_space_group_name_Hall 'P 1'
_cell_length_a 6.504
_cell_length_b 6.504
_cell_length_c 4.405
_cell_angle_alpha 90.00
_cell_angle_beta 90.00
_cell_angle_gamma 90.00
loop_
_atom_site_label
_atom_site_type_symbol
_atom_site_fract_x
_atom_site_fract_y
_atom_site_fract_z
Si1 Si 0.127 0.373 0.000
Si2 Si 0.373 0.873 0.000
Si3 Si 0.627 0.127 0.000
Si4 Si 0.873 0.627 0.000
Ag1 Ag 0.000 0.000 0.000
Ag2 Ag 0.500 0.500 0.000
Au1 Au 0.242 0.258 0.500
Au2 Au 0.258 0.758 0.500
Au3 Au 0.742 0.242 0.500
Au4 Au 0.758 0.742 0.500
```

Summary:
**Formation energy from raw total energies**: 0.8 eV/f.u.
**Excess energy over the best structure of this formula in the dataset**: 0.0196 eV per atom
**DFT total energy**: -3.887 eV/atom

***

# 7
Compound: YNb2In
Source: the Alexandria database
Functional: GGA-PBE
Structure: relaxed

CIF file:
```
data_YNb2In
_symmetry_space_group_name_H-M 'P 1'
_symmetry_Int_Tables_number 1
_symmetry_space_group_name_Hall 'P 1'
_cell_length_a 6.395
_cell_length_b 6.395
_cell_length_c 6.395
_cell_angle_alpha 101.76
_cell_angle_beta 101.76
_cell_angle_gamma 126.34
loop_
_atom_site_label
_atom_site_type_symbol
_atom_site_fract_x
_atom_site_fract_y
_atom_site_fract_z
Y1 Y 0.000 0.000 0.000
Y2 Y 0.750 0.250 0.500
Nb1 Nb 0.149 0.625 0.024
Nb2 Nb 0.375 0.399 0.524
Nb3 Nb 0.601 0.125 0.976
Nb4 Nb 0.875 0.851 0.476
In1 In 0.250 0.750 0.500
In2 In 0.500 0.500 0.000
```

Summary:
**Calculated formation energy**: 0.647 eV per atom
**DFT total energy**: -6.688 eV/atom

***

# 8
Compound: Pr14DyCd
Source: the Alexandria database
Functional: GGA-PBE
Structure: relaxed

CIF file:
```
data_Pr14DyCd
_symmetry_space_group_name_H-M 'P 1'
_symmetry_Int_Tables_number 1
_symmetry_space_group_name_Hall 'P 1'
_cell_length_a 7.302
_cell_length_b 7.302
_cell_length_c 10.424
_cell_angle_alpha 90.00
_cell_angle_beta 90.00
_cell_angle_gamma 90.00
loop_
_atom_site_label
_atom_site_type_symbol
_atom_site_fract_x
_atom_site_fract_y
_atom_site_fract_z
Pr1 Pr 0.000 0.000 0.000
Pr2 Pr 0.000 0.500 0.000
Pr3 Pr 0.000 0.500 0.500
Pr4 Pr 0.248 0.248 0.255
Pr5 Pr 0.248 0.248 0.745
Pr6 Pr 0.248 0.752 0.255
Pr7 Pr 0.248 0.752 0.745
Pr8 Pr 0.500 0.000 0.000
Pr9 Pr 0.500 0.000 0.500
Pr10 Pr 0.500 0.500 0.000
Pr11 Pr 0.752 0.248 0.255
Pr12 Pr 0.752 0.248 0.745
Pr13 Pr 0.752 0.752 0.255
Pr14 Pr 0.752 0.752 0.745
Dy1 Dy 0.500 0.500 0.500
Cd1 Cd 0.000 0.000 0.500
```

Summary:
**Calculated formation energy**: -0.017 eV per atom
**DFT total energy**: -4.544 eV/atom

***

# 9
Compound: BeZnCr3
Source: the Alexandria database
Functional: GGA-PBE
Structure: relaxed

CIF file:
```
data_BeZnCr3
_symmetry_space_group_name_H-M 'P 1'
_symmetry_Int_Tables_number 1
_symmetry_space_group_name_Hall 'P 1'
_cell_length_a 4.305
_cell_length_b 4.305
_cell_length_c 4.305
_cell_angle_alpha 90.00
_cell_angle_beta 90.00
_cell_angle_gamma 90.00
loop_
_atom_site_label
_atom_site_type_symbol
_atom_site_fract_x
_atom_site_fract_y
_atom_site_fract_z
Be1 Be 0.000 0.000 0.000
Zn1 Zn 0.500 0.500 0.500
Cr1 Cr 0.000 0.500 0.500
Cr2 Cr 0.500 0.000 0.500
Cr3 Cr 0.500 0.500 0.000
```

Summary:
**Calculated formation energy**: 1.973 eV per atom
**Excess energy over the best structure of this formula in the dataset**: 1.1174 eV per atom
**DFT total energy**: -4.801 eV/atom

***

# 10
Compound: CaCNF2
Source: the Alexandria database
Functional: GGA-PBE
Structure: relaxed

CIF file:
```
data_CaCNF2
_symmetry_space_group_name_H-M 'P 1'
_symmetry_Int_Tables_number 1
_symmetry_space_group_name_Hall 'P 1'
_cell_length_a 4.288
_cell_length_b 4.288
_cell_length_c 5.389
_cell_angle_alpha 90.00
_cell_angle_beta 90.00
_cell_angle_gamma 90.00
loop_
_atom_site_label
_atom_site_type_symbol
_atom_site_fract_x
_atom_site_fract_y
_atom_site_fract_z
Ca1 Ca 0.000 0.000 0.000
C1 C 0.500 0.500 0.500
N1 N 0.000 0.000 0.500
F1 F 0.000 0.500 0.000
F2 F 0.500 0.000 0.000
```

Summary:
**Formation energy from raw total energies**: 1.7 eV/f.u.
**Excess energy over the best structure of this formula in the dataset**: 1.3361 eV per atom
**DFT total energy**: -4.322 eV/atom

***

Look up the DFT total energy of the tenth one. -4.322 eV/atom